#1
## LiBi2I2O2 (GGA-PBE)

Data for LiBi2I2O2 after structural relaxation.

Lattice parameters (Å, degrees): 4.1016 4.1016 10.1571 90.00 90.00 90.00
Last column: nearest neighbours and their distance in Å.
Fractional coordinates of all 7 atoms:
Li  0.5000  0.5000  0.0764  4 O 2.13
Bi  0.5000  0.5000  0.8216  1 Li 2.59, 4 O 2.87
Bi  0.0000  0.0000  0.1279  4 O 2.33
I  0.0000  0.0000  0.6787  4 Bi 3.24
I  0.5000  0.5000  0.3372  1 Li 2.65
O  0.5000  0.0000  0.0197  2 Li 2.13, 2 Bi 2.33
O  0.0000  0.5000  0.0197  2 Li 2.13, 2 Bi 2.33

SG   P4mm

---

#2
## LiBi2I2O2 (GGA-PBE)

Data for LiBi2I2O2 after structural relaxation.

Lattice parameters (Å, degrees): 4.2220 4.5526 10.0841 90.00 90.00 90.00
Last column: nearest neighbours and their distance in Å.
Fractional coordinates of all 7 atoms:
Li  0.0000  0.5000  0.2237  1 O 2.23
Bi  0.5000  0.5000  0.8721  4 O 2.49-2.50
Bi  0.0000  0.0000  0.0666  4 O 2.31-2.37
I  0.0000  0.0000  0.7033  4 O 3.45-3.78, 5 Bi 3.54-3.66
I  0.5000  0.5000  0.3574  2 Li 2.50
O  0.5000  0.0000  0.9744  4 Bi 2.31-2.50
O  0.0000  0.5000  0.0026  1 Li 2.23, 4 Bi 2.37-2.49

SG   Pmm2

---

The structure with the most favorable energy is #1; the runner-up is 19 meV/atom above it.

---

#1
## LiBiIO2 (GGA-PBE)

Data for LiBiIO2 after structural relaxation.

Lattice parameters (Å, degrees): 4.2698 4.2698 6.7483 90.00 90.00 90.00
Last column: nearest neighbours and their distance in Å.
Fractional coordinates of all 5 atoms:
I  0.0000  0.0000  0.5000  4 Li 3.02, 2 Bi 3.37
Bi  0.0000  0.0000  0.0000  4 O 2.13
O  0.0000  0.5000  0.0000  2 Bi 2.13
O  0.5000  0.0000  0.0000  2 Bi 2.13
Li  0.5000  0.5000  0.5000  4 I 3.02

SG   P4/mmm

---

#2
## LiBiIO2 (GGA-PBE)

Data for LiBiIO2 after structural relaxation.

Lattice parameters (Å, degrees): 4.3273 4.3273 4.6896 90.00 90.00 90.00
Last column: nearest neighbours and their distance in Å.
Fractional coordinates of all 5 atoms:
I  0.0000  0.0000  0.5000  2 Li 2.34
Bi  0.5000  0.5000  0.5000  4 I 3.06, 8 O 3.19
O  0.0000  0.5000  0.0000  2 Li 2.16
O  0.5000  0.0000  0.0000  2 Li 2.16
Li  0.0000  0.0000  0.0000  4 O 2.16, 2 I 2.34

SG   P4/mmm

---

The structure with the most favorable energy is #1; the runner-up is 784 meV/atom above it.

---

#1
## LiBiSb2I (GGA-PBE)

Data for LiBiSb2I after structural relaxation.

Lattice parameters (Å, degrees): 5.8590 5.8590 6.4747 90.00 90.00 90.00
Last column: nearest neighbours and their distance in Å.
Fractional coordinates of all 5 atoms:
I  0.0000  0.0000  0.5000  2 Bi 3.24
Sb  0.0000  0.5000  0.0000  2 Bi 2.93
Sb  0.5000  0.0000  0.0000  2 Bi 2.93
Bi  0.0000  0.0000  0.0000  4 Sb 2.93, 2 I 3.24
Li  0.5000  0.5000  0.5000  4 I 4.14, 8 Sb 4.37

SG   P4/mmm

---

#2
## LiBiSb2I (GGA-PBE)

Data for LiBiSb2I after structural relaxation.

Lattice parameters (Å, degrees): 5.2049 5.2049 5.2299 90.00 90.00 90.00
Last column: nearest neighbours and their distance in Å.
Fractional coordinates of all 5 atoms:
I  0.0000  0.0000  0.5000  2 Li 2.61
Sb  0.0000  0.5000  0.0000  2 Li 2.60
Sb  0.5000  0.0000  0.0000  2 Li 2.60
Bi  0.5000  0.5000  0.5000  4 I 3.68, 8 Sb 3.69
Li  0.0000  0.0000  0.0000  4 Sb 2.60, 2 I 2.61

SG   P4/mmm

---

The structure with the most favorable energy is #2; the runner-up is 146 meV/atom above it.

---

#1
## MgBiI3 (GGA-PBE)

Data for MgBiI3 after structural relaxation.

Lattice parameters (Å, degrees): 5.6504 5.6504 5.6504 90.00 90.00 90.00
Last column: nearest neighbours and their distance in Å.
Fractional coordinates of all 5 atoms:
I  0.0000  0.5000  0.0000  2 Mg 2.83
I  0.0000  0.0000  0.5000  2 Mg 2.83
I  0.5000  0.0000  0.0000  2 Mg 2.83
Mg  0.0000  0.0000  0.0000  6 I 2.83
Bi  0.5000  0.5000  0.5000  12 I 4.00

SG   Pm-3m

---

#2
## MgBiI3 (GGA-PBE)

Data for MgBiI3 after structural relaxation.

Lattice parameters (Å, degrees): 6.2052 6.2052 6.2052 90.00 90.00 90.00
Last column: nearest neighbours and their distance in Å.
Fractional coordinates of all 5 atoms:
I  0.0000  0.5000  0.0000  2 Bi 3.10
I  0.0000  0.0000  0.5000  2 Bi 3.10
I  0.5000  0.0000  0.0000  2 Bi 3.10
Mg  0.5000  0.5000  0.5000  12 I 4.39
Bi  0.0000  0.0000  0.0000  6 I 3.10

SG   Pm-3m

---

The structure with the most favorable energy is #1; the runner-up is 152 meV/atom above it.

---

#1
## MgBiI (GGA-PBE)

Data for MgBiI after structural relaxation.

Lattice parameters (Å, degrees): 4.1380 4.1363 16.1243 111.33 90.00 120.01
Last column: nearest neighbours and their distance in Å.
Fractional coordinates of all 6 atoms:
Mg  0.6255  0.2510  0.2805  3 I 2.93, 3 Bi 3.20
Mg  0.3745  0.7490  0.7195  3 I 2.93, 3 Bi 3.20
Bi  0.9034  0.8067  0.5740  3 Mg 3.20, 3 Bi 3.22-3.23
Bi  0.0966  0.1933  0.4260  3 Mg 3.20, 3 Bi 3.22-3.23
I  0.8178  0.6355  0.8359  3 Mg 2.93
I  0.1822  0.3645  0.1641  3 Mg 2.93

SG   C2/m

---

#2
## MgBiI (GGA-PBE)

Data for MgBiI after structural relaxation.

Lattice parameters (Å, degrees): 4.0424 6.8268 15.5647 90.00 90.00 90.00
Last column: nearest neighbours and their distance in Å.
Fractional coordinates of all 12 atoms:
Bi  0.0013  0.7214  0.6825  1 Bi 3.02, 3 Mg 3.17-3.38
Bi  0.0013  0.2786  0.6825  1 Bi 3.02, 3 Mg 3.17-3.38
Bi  0.9987  0.2786  0.1825  1 Bi 3.02, 3 Mg 3.17-3.38
Bi  0.9987  0.7214  0.1825  1 Bi 3.02, 3 Mg 3.17-3.38
Mg  0.5008  0.5000  0.5593  1 I 2.65
Mg  0.4992  0.5000  0.0593  1 I 2.65
Mg  0.4993  0.0000  0.5582  2 I 2.77-2.78
Mg  0.5007  0.0000  0.0582  2 I 2.77-2.78
I  0.5019  0.5000  0.8890  1 Mg 2.65
I  0.4981  0.5000  0.3890  1 Mg 2.65
I  0.9988  0.0000  0.4359  2 Mg 2.77-2.78
I  0.0012  0.0000  0.9359  2 Mg 2.77-2.78

SG   Pmc2_1

---

The structure with the most favorable energy is #1; the runner-up is 179 meV/atom above it.

---

#1
## Mg2BiI (GGA-PBE)

Data for Mg2BiI after structural relaxation.

Lattice parameters (Å, degrees): 4.5071 4.5071 8.3573 74.36 74.36 60.00
Last column: nearest neighbours and their distance in Å.
Fractional coordinates of all 4 atoms:
Mg  0.0700  0.0700  0.7899  3 Bi 3.09, 3 I 3.12
Mg  0.2871  0.2871  0.1388  3 Bi 2.83
Bi  0.6670  0.6670  0.9989  6 Mg 2.83-3.09
I  0.4759  0.4759  0.5724  3 Mg 3.12

SG   R3m

---

#2
## Mg2BiI (GGA-PBE)

Data for Mg2BiI after structural relaxation.

Lattice parameters (Å, degrees): 4.4614 4.4614 7.6014 72.93 72.93 60.00
Last column: nearest neighbours and their distance in Å.
Fractional coordinates of all 4 atoms:
I  0.5000  0.5000  0.5000  6 Mg 3.36
Mg  0.2673  0.2673  0.1982  3 Bi 2.94
Mg  0.7327  0.7327  0.8018  3 Bi 2.94
Bi  0.0000  0.0000  0.0000  6 Mg 2.94

SG   R-3m

---

#3
## Mg2BiI (GGA-PBE)

Data for Mg2BiI after structural relaxation.

Lattice parameters (Å, degrees): 5.4156 5.4156 5.4156 60.00 60.00 60.00
Last column: nearest neighbours and their distance in Å.
Fractional coordinates of all 4 atoms:
I  0.0000  0.0000  0.0000  8 Mg 3.32
Mg  0.2500  0.2500  0.2500  4 Bi 3.32, 4 I 3.32
Mg  0.7500  0.7500  0.7500  4 Bi 3.32, 4 I 3.32
Bi  0.5000  0.5000  0.5000  8 Mg 3.32

SG   Fm-3m

---

The structure with the most favorable energy is #2; the runner-up is 47 meV/atom above it.

---

#1
## Mg3BiI (GGA-PBE)

Data for Mg3BiI after structural relaxation.

Lattice parameters (Å, degrees): 5.8393 5.8393 5.8393 90.00 90.00 90.00
Last column: nearest neighbours and their distance in Å.
Fractional coordinates of all 5 atoms:
I  0.5000  0.5000  0.5000  12 Mg 4.13
Mg  0.0000  0.5000  0.0000  2 Bi 2.92
Mg  0.0000  0.0000  0.5000  2 Bi 2.92
Mg  0.5000  0.0000  0.0000  2 Bi 2.92
Bi  0.0000  0.0000  0.0000  6 Mg 2.92

SG   Pm-3m

---

#2
## Mg3BiI (GGA-PBE)

Data for Mg3BiI after structural relaxation.

Lattice parameters (Å, degrees): 5.5747 5.5747 5.5747 90.00 90.00 90.00
Last column: nearest neighbours and their distance in Å.
Fractional coordinates of all 5 atoms:
I  0.0000  0.0000  0.0000  6 Mg 2.79
Mg  0.0000  0.5000  0.0000  2 I 2.79
Mg  0.0000  0.0000  0.5000  2 I 2.79
Mg  0.5000  0.0000  0.0000  2 I 2.79
Bi  0.5000  0.5000  0.5000  12 Mg 3.94

SG   Pm-3m

---

The structure with the most favorable energy is #1; the runner-up is 364 meV/atom above it.

---

#1
## MgBiI2O (GGA-PBE)

Data for MgBiI2O after structural relaxation.

Lattice parameters (Å, degrees): 5.9493 5.9493 3.7733 90.00 90.00 90.00
Last column: nearest neighbours and their distance in Å.
Fractional coordinates of all 5 atoms:
I  0.0000  0.5000  0.0000  2 Mg 2.97
I  0.5000  0.0000  0.0000  2 Mg 2.97
Mg  0.0000  0.0000  0.0000  2 O 1.89
Bi  0.5000  0.5000  0.5000  8 I 3.52, 2 Bi 3.77
O  0.0000  0.0000  0.5000  2 Mg 1.89

SG   P4/mmm

---

#2
## MgBiI2O (GGA-PBE)

Data for MgBiI2O after structural relaxation.

Lattice parameters (Å, degrees): 6.3231 6.3231 4.3351 90.00 90.00 90.00
Last column: nearest neighbours and their distance in Å.
Fractional coordinates of all 5 atoms:
I  0.0000  0.5000  0.0000  2 Bi 3.16
I  0.5000  0.0000  0.0000  2 Bi 3.16
Mg  0.5000  0.5000  0.5000  8 I 3.83
Bi  0.0000  0.0000  0.0000  2 O 2.17
O  0.0000  0.0000  0.5000  2 Bi 2.17

SG   P4/mmm

---

The structure with the most favorable energy is #1; the runner-up is 275 meV/atom above it.

---

#1
## MgBiSb2I (GGA-PBE)

Data for MgBiSb2I after structural relaxation.

Lattice parameters (Å, degrees): 5.8852 5.8852 6.0759 90.00 90.00 90.00
Last column: nearest neighbours and their distance in Å.
Fractional coordinates of all 5 atoms:
I  0.0000  0.0000  0.5000  2 Bi 3.04
Sb  0.0000  0.5000  0.0000  2 Bi 2.94
Sb  0.5000  0.0000  0.0000  2 Bi 2.94
Mg  0.5000  0.5000  0.5000  4 I 4.16, 8 Sb 4.23
Bi  0.0000  0.0000  0.0000  4 Sb 2.94, 2 I 3.04

SG   P4/mmm

---

#2
## MgBiSb2I (GGA-PBE)

Data for MgBiSb2I after structural relaxation.

Lattice parameters (Å, degrees): 5.5256 5.5256 5.3943 90.00 90.00 90.00
Last column: nearest neighbours and their distance in Å.
Fractional coordinates of all 5 atoms:
I  0.0000  0.0000  0.5000  2 Mg 2.70
Sb  0.0000  0.5000  0.0000  2 Mg 2.76
Sb  0.5000  0.0000  0.0000  2 Mg 2.76
Mg  0.0000  0.0000  0.0000  2 I 2.70, 4 Sb 2.76
Bi  0.5000  0.5000  0.5000  8 Sb 3.86, 4 I 3.91

SG   P4/mmm

---

The structure with the most favorable energy is #2; the runner-up is 275 meV/atom above it.

---

#1
## MnBiI2N (GGA-PBE)

Data for MnBiI2N after structural relaxation.

Lattice parameters (Å, degrees): 6.3783 6.3783 4.2323 90.00 90.00 90.00
Last column: nearest neighbours and their distance in Å.
Fractional coordinates of all 5 atoms:
I  0.0000  0.5000  0.0000  2 Bi 3.19
I  0.5000  0.0000  0.0000  2 Bi 3.19
Mn  0.5000  0.5000  0.5000  8 I 3.83, 2 Mn 4.23
Bi  0.0000  0.0000  0.0000  2 N 2.12
N  0.0000  0.0000  0.5000  2 Bi 2.12

SG   P4/mmm

---

#2
## MnBiI2N (GGA-PBE)

Data for MnBiI2N after structural relaxation.

Lattice parameters (Å, degrees): 5.6421 5.6421 3.5924 90.00 90.00 90.00
Last column: nearest neighbours and their distance in Å.
Fractional coordinates of all 5 atoms:
I  0.0000  0.5000  0.0000  2 Mn 2.82
I  0.5000  0.0000  0.0000  2 Mn 2.82
Mn  0.0000  0.0000  0.0000  2 N 1.80
Bi  0.5000  0.5000  0.5000  8 I 3.34, 2 Bi 3.59
N  0.0000  0.0000  0.5000  2 Mn 1.80

SG   P4/mmm

---

The structure with the most favorable energy is #2; the runner-up is 559 meV/atom above it.

---

#1
## BiMoI2 (GGA-PBE)

Data for BiMoI2 after structural relaxation.

Lattice parameters (Å, degrees): 5.4218 5.4218 5.4218 60.00 60.00 60.00
Last column: nearest neighbours and their distance in Å.
Fractional coordinates of all 4 atoms:
I  0.2500  0.2500  0.2500  4 Mo 3.32, 4 Bi 3.32
I  0.7500  0.7500  0.7500  4 Mo 3.32, 4 Bi 3.32
Mo  0.0000  0.0000  0.0000  8 I 3.32
Bi  0.5000  0.5000  0.5000  8 I 3.32

SG   Fm-3m

---

#2
## BiMoI2 (GGA-PBE)

Data for BiMoI2 after structural relaxation.

Lattice parameters (Å, degrees): 10.0594 10.0594 7.6154 48.66 48.66 90.00
Last column: nearest neighbours and their distance in Å.
Fractional coordinates of all 8 atoms:
I  0.4852  0.1250  0.2500  2 Mo 2.83
I  0.2648  0.6250  0.2500  2 Mo 2.83
I  0.3750  0.5148  0.7500  2 Mo 2.83
I  0.8750  0.7352  0.7500  2 Mo 2.83
Mo  0.5000  0.5000  0.0000  2 Bi 2.72, 4 I 2.83
Mo  0.2500  0.7500  0.5000  2 Bi 2.72, 4 I 2.83
Bi  0.0000  0.0000  0.0000  2 Mo 2.72
Bi  0.7500  0.2500  0.5000  2 Mo 2.72

SG   I-42d

---

The structure with the most favorable energy is #2; the runner-up is 553 meV/atom above it.

---

#1
## BiMoI2N (GGA-PBE)

Data for BiMoI2N after structural relaxation.

Lattice parameters (Å, degrees): 6.3327 6.3327 4.2088 90.00 90.00 90.00
Last column: nearest neighbours and their distance in Å.
Fractional coordinates of all 5 atoms:
I  0.0000  0.5000  0.0000  2 Bi 3.17
I  0.5000  0.0000  0.0000  2 Bi 3.17
Mo  0.5000  0.5000  0.5000  8 I 3.80, 2 Mo 4.21
Bi  0.0000  0.0000  0.0000  2 N 2.10
N  0.0000  0.0000  0.5000  2 Bi 2.10

SG   P4/mmm

---

#2
## BiMoI2N (GGA-PBE)

Data for BiMoI2N after structural relaxation.

Lattice parameters (Å, degrees): 5.7873 5.7873 3.8469 90.00 90.00 90.00
Last column: nearest neighbours and their distance in Å.
Fractional coordinates of all 5 atoms:
I  0.0000  0.5000  0.0000  2 Mo 2.89
I  0.5000  0.0000  0.0000  2 Mo 2.89
Mo  0.0000  0.0000  0.0000  2 N 1.92
Bi  0.5000  0.5000  0.5000  8 I 3.47, 2 Bi 3.85
N  0.0000  0.0000  0.5000  2 Mo 1.92

SG   P4/mmm

---

The structure with the most favorable energy is #2; the runner-up is 999 meV/atom above it.